[1]
VASP calculation (GGA-PBE) on a geometry-optimized TeAsRhN2 structure.

a b c (Å): 3.683 3.683 7.791
angles (deg): 90.00 90.00 90.00
Fractional coordinates of all 5 atoms:
1 As 0.000 0.000 0.000
2 Te 0.000 0.000 0.500
3 Rh 0.500 0.500 0.500
4 N 0.000 0.500 0.000
5 N 0.500 0.000 0.000

Excess energy over the best structure of this formula in the dataset ... 214 meV/atom
Symmetry ... P4/mmm (123)

***

[2]
VASP calculation (GGA-PBE) on a geometry-optimized TeAsRhN2 structure.

a b c (Å): 3.854 3.854 6.102
angles (deg): 90.00 90.00 90.00
Fractional coordinates of all 5 atoms:
1 As 0.500 0.500 0.500
2 Te 0.000 0.000 0.500
3 Rh 0.000 0.000 0.000
4 N 0.000 0.500 0.000
5 N 0.500 0.000 0.000

Excess energy over the best structure of this formula in the dataset ... 0 meV/atom
Symmetry ... P4/mmm (123)

***

[3]
VASP calculation (GGA-PBE) on a geometry-optimized ThAsRhN structure.

a b c (Å): 4.128 4.128 8.504
angles (deg): 90.00 90.00 90.00
Fractional coordinates of all 8 atoms:
1 Th 0.000 0.500 0.866
2 Th 0.500 0.000 0.134
3 As 0.500 0.000 0.661
4 As 0.000 0.500 0.339
5 Rh 0.000 0.000 0.500
6 Rh 0.500 0.500 0.500
7 N 0.500 0.500 0.000
8 N 0.000 0.000 0.000

Total energy ... -8.20 eV/atom
Symmetry ... P4/nmm (129)

***

no.,calculated volume (Å³ per atom)
1,21.1
2,18.1
3,18.1